No. 1
DFT (GGA-PBE) results for a relaxed NpHgPb crystal.

a = 3.2645 Å, b = 3.2645 Å, c = 8.4842 Å
α = 90.00°, β = 90.00°, γ = 120.00°
Closest atoms and distances in Å follow each position.
Space group P3m1 (No. 156)
One atom of each set of equivalent atoms:
Np (0.0000, 0.0000, 0.0000) (multiplicity 1)  6 Np 3.26, 3 Hg 3.29, 3 Pb 3.47
Hg (0.6667, 0.3333, 0.3180) (multiplicity 1)  6 Hg 3.26, 3 Np 3.29, 3 Pb 3.43
Pb (0.3333, 0.6667, 0.6560) (multiplicity 1)  6 Pb 3.26, 3 Hg 3.43, 3 Np 3.47

No. 2
DFT (GGA-PBE) results for a relaxed NpHgPb crystal.

a = 3.5786 Å, b = 5.5612 Å, c = 16.0785 Å
α = 90.00°, β = 90.00°, γ = 90.00°
Closest atoms and distances in Å follow each position.
Space group Ama2 (No. 40)
One atom of each set of equivalent atoms:
Np (0.2500, 0.1422, 0.0000) (multiplicity 4)  2 Np 2.39
Hg (0.2500, 0.2337, 0.6582) (multiplicity 4)  4 Hg 3.16-3.46, 3 Np 3.19-3.41, 2 Pb 3.29
Pb (0.2500, 0.2482, 0.3300) (multiplicity 4)  6 Pb 3.29-3.58, 2 Hg 3.29, 3 Np 3.32-3.50

No. 3
DFT (GGA-PBE) results for a relaxed NpHg2Pb crystal.

a = 4.6063 Å, b = 4.6063 Å, c = 4.8983 Å
α = 90.00°, β = 90.00°, γ = 90.00°
Closest atoms and distances in Å follow each position.
Space group P4/mmm (No. 123)
One atom of each set of equivalent atoms:
Np (0.0000, 0.0000, 0.0000) (multiplicity 1)  4 Pb 3.26, 8 Hg 3.36
Hg (0.0000, 0.5000, 0.5000) (multiplicity 2)  4 Hg 3.26, 4 Pb 3.36, 4 Np 3.36
Pb (0.5000, 0.5000, 0.0000) (multiplicity 1)  4 Np 3.26, 8 Hg 3.36

No. 4
DFT (GGA-PBE) results for a relaxed NpHgPdPb crystal.

a = 7.2109 Å, b = 7.2109 Å, c = 7.2109 Å
α = 90.00°, β = 90.00°, γ = 90.00°
Closest atoms and distances in Å follow each position.
Space group F-43m (No. 216)
One atom of each set of equivalent atoms:
Np (0.0000, 0.0000, 0.0000) (multiplicity 4)  4 Pd 3.12, 4 Hg 3.12
Hg (0.2500, 0.2500, 0.2500) (multiplicity 4)  4 Pb 3.12, 4 Np 3.12
Pd (0.2500, 0.2500, 0.7500) (multiplicity 4)  4 Pb 3.12, 4 Np 3.12
Pb (0.0000, 0.0000, 0.5000) (multiplicity 4)  4 Hg 3.12, 4 Pd 3.12

No. 5
DFT (GGA-PBE) results for a relaxed NpScHgPb crystal.

a = 7.4033 Å, b = 7.4033 Å, c = 7.4033 Å
α = 90.00°, β = 90.00°, γ = 90.00°
Closest atoms and distances in Å follow each position.
Space group F-43m (No. 216)
One atom of each set of equivalent atoms:
Np (0.0000, 0.0000, 0.0000) (multiplicity 4)  4 Hg 3.21, 4 Pb 3.21
Sc (0.0000, 0.0000, 0.5000) (multiplicity 4)  4 Hg 3.21, 4 Pb 3.21
Hg (0.2500, 0.2500, 0.2500) (multiplicity 4)  4 Np 3.21, 4 Sc 3.21
Pb (0.2500, 0.2500, 0.7500) (multiplicity 4)  4 Np 3.21, 4 Sc 3.21

No. 6
DFT (GGA-PBE) results for a relaxed NpZnHgPb crystal.

a = 7.3257 Å, b = 7.3257 Å, c = 7.3257 Å
α = 90.00°, β = 90.00°, γ = 90.00°
Closest atoms and distances in Å follow each position.
Space group F-43m (No. 216)
One atom of each set of equivalent atoms:
Np (0.0000, 0.0000, 0.0000) (multiplicity 4)  4 Hg 3.17, 4 Zn 3.17
Zn (0.2500, 0.2500, 0.7500) (multiplicity 4)  4 Pb 3.17, 4 Np 3.17
Hg (0.2500, 0.2500, 0.2500) (multiplicity 4)  4 Pb 3.17, 4 Np 3.17
Pb (0.0000, 0.0000, 0.5000) (multiplicity 4)  4 Zn 3.17, 4 Hg 3.17

No. 7
DFT (GGA-PBE) results for a relaxed NpHgPd2 crystal.

a = 3.2318 Å, b = 3.2318 Å, c = 7.4648 Å
α = 90.00°, β = 90.00°, γ = 90.00°
Closest atoms and distances in Å follow each position.
Space group P4/mmm (No. 123)
One atom of each set of equivalent atoms:
Np (0.0000, 0.0000, 0.0000) (multiplicity 1)  8 Pd 3.00, 4 Np 3.23
Hg (0.0000, 0.0000, 0.5000) (multiplicity 1)  8 Pd 2.90, 4 Hg 3.23
Pd (0.5000, 0.5000, 0.2602) (multiplicity 2)  4 Hg 2.90, 4 Np 3.00, 4 Pd 3.23

No. 8
DFT (GGA-PBE) results for a relaxed NpHgPd2 crystal.

a = 5.0651 Å, b = 5.0651 Å, c = 3.0619 Å
α = 90.00°, β = 90.00°, γ = 90.00°
Closest atoms and distances in Å follow each position.
Space group P4/mmm (No. 123)
One atom of each set of equivalent atoms:
Np (0.0000, 0.0000, 0.0000) (multiplicity 1)  8 Pd 2.96, 2 Np 3.06
Hg (0.5000, 0.5000, 0.0000) (multiplicity 1)  8 Pd 2.96, 2 Hg 3.06
Pd (0.0000, 0.5000, 0.5000) (multiplicity 2)  4 Hg 2.96, 4 Np 2.96, 2 Pd 3.06

No. 9
DFT (GGA-PBE) results for a relaxed NpHgPd2 crystal.

a = 6.8303 Å, b = 6.8303 Å, c = 6.8303 Å
α = 90.00°, β = 90.00°, γ = 90.00°
Closest atoms and distances in Å follow each position.
Space group Fm-3m (No. 225)
One atom of each set of equivalent atoms:
Np (0.0000, 0.0000, 0.0000) (multiplicity 4)  8 Pd 2.96
Hg (0.0000, 0.0000, 0.5000) (multiplicity 4)  8 Pd 2.96
Pd (0.2500, 0.2500, 0.2500) (multiplicity 8)  4 Hg 2.96, 4 Np 2.96

No. 10
DFT (GGA-PBE) results for a relaxed NpHg4Pd15 crystal.

a = 4.0839 Å, b = 4.0839 Å, c = 20.2094 Å
α = 90.00°, β = 90.00°, γ = 90.00°
Closest atoms and distances in Å follow each position.
Space group P4/mmm (No. 123)
One atom of each set of equivalent atoms:
Np (0.0000, 0.0000, 0.0000) (multiplicity 1)  12 Pd 2.86-2.89
Hg (0.0000, 0.0000, 0.2033) (multiplicity 2)  12 Pd 2.86-2.93
Hg (0.0000, 0.0000, 0.4009) (multiplicity 2)  12 Pd 2.85-2.89
Pd (0.0000, 0.5000, 0.0994) (multiplicity 4)  2 Np 2.86, 8 Pd 2.86-2.90, 2 Hg 2.93
Pd (0.0000, 0.5000, 0.3024) (multiplicity 4)  4 Hg 2.85-2.86, 8 Pd 2.86-2.89
Pd (0.0000, 0.5000, 0.5000) (multiplicity 2)  8 Pd 2.85-2.89, 4 Hg 2.86
Pd (0.5000, 0.5000, 0.0000) (multiplicity 1)  8 Pd 2.86, 4 Np 2.89
Pd (0.5000, 0.5000, 0.2014) (multiplicity 2)  4 Hg 2.89, 8 Pd 2.89-2.90
Pd (0.5000, 0.5000, 0.4017) (multiplicity 2)  8 Pd 2.85-2.86, 4 Hg 2.89

No. 11
DFT (GGA-PBE) results for a relaxed NpHg2Pd crystal.

a = 3.2851 Å, b = 3.2851 Å, c = 7.9017 Å
α = 90.00°, β = 90.00°, γ = 90.00°
Closest atoms and distances in Å follow each position.
Space group P4/mmm (No. 123)
One atom of each set of equivalent atoms:
Np (0.0000, 0.0000, 0.0000) (multiplicity 1)  8 Hg 3.25, 4 Np 3.29
Hg (0.5000, 0.5000, 0.2870) (multiplicity 2)  4 Pd 2.87
Pd (0.0000, 0.0000, 0.5000) (multiplicity 1)  8 Hg 2.87

No. 12
DFT (GGA-PBE) results for a relaxed NpHg2Pd9 crystal.

a = 4.0788 Å, b = 4.0788 Å, c = 12.2744 Å
α = 90.00°, β = 90.00°, γ = 90.00°
Closest atoms and distances in Å follow each position.
Space group P4/mmm (No. 123)
One atom of each set of equivalent atoms:
Np (0.0000, 0.0000, 0.0000) (multiplicity 1)  12 Pd 2.86-2.88
Hg (0.0000, 0.0000, 0.3366) (multiplicity 2)  12 Pd 2.86-2.94
Pd (0.0000, 0.5000, 0.1636) (multiplicity 4)  2 Np 2.86, 8 Pd 2.86-2.90, 2 Hg 2.94
Pd (0.0000, 0.5000, 0.5000) (multiplicity 2)  4 Hg 2.86, 8 Pd 2.88-2.91
Pd (0.5000, 0.5000, 0.0000) (multiplicity 1)  8 Pd 2.86, 4 Np 2.88
Pd (0.5000, 0.5000, 0.3313) (multiplicity 2)  4 Hg 2.88, 8 Pd 2.90-2.91

No. 13
DFT (GGA-PBE) results for a relaxed NpHgPdRh crystal.

a = 6.7383 Å, b = 6.7383 Å, c = 6.7383 Å
α = 90.00°, β = 90.00°, γ = 90.00°
Closest atoms and distances in Å follow each position.
Space group F-43m (No. 216)
One atom of each set of equivalent atoms:
Np (0.0000, 0.0000, 0.0000) (multiplicity 4)  4 Pd 2.92, 4 Rh 2.92
Hg (0.0000, 0.0000, 0.5000) (multiplicity 4)  4 Rh 2.92, 4 Pd 2.92
Pd (0.2500, 0.2500, 0.7500) (multiplicity 4)  4 Hg 2.92, 4 Np 2.92
Rh (0.2500, 0.2500, 0.2500) (multiplicity 4)  4 Hg 2.92, 4 Np 2.92

What formation energy from the elements values result from the calculations? In sequence: 0.263; 0.258; 0.123; 0.018; -0.002; 0.241; -0.122; -0.097; -0.196; -0.189; 0.022; -0.240; -0.194 eV per atom.